1.
Below is a relaxed structure of CsRb2SrAu, with properties calculated at the PBE-GGA level.

## Properties
VASP energy   -8.36 eV for the cell shown
Crystal system   tetragonal
ΔH_f (0 K)   -0.1221 eV per atom

Geometry as POSCAR:
```
CsRb2SrAu
1.0
-1.005 1.025 -6.947
0.048 -7.017 -1.042
-6.234 -0.173 0.877
Rb Sr Cs Au
2 1 1 1
Cartesian
-0.503 0.512 -3.474 Rb
0.024 -3.508 -0.521 Rb
-3.117 -0.086 0.438 Sr
-3.595 -3.083 -3.556 Cs
0.000 0.000 0.000 Au
```

=====

2.
Below is a relaxed structure of PuSn12Pt4, with properties calculated at the PBE-GGA level.

## Properties
VASP energy   -92.61 eV for the cell shown
Crystal system   cubic
ΔH_f (0 K)   -0.3579 eV per atom

Geometry as POSCAR:
```
PuSn12Pt4
1.0
7.758 0.000 -2.743
-3.879 6.719 -2.743
0.000 0.000 8.229
Pt Sn Pu
4 12 1
Cartesian
0.000 0.000 4.114 Pt
-1.940 3.359 -1.371 Pt
1.940 3.359 1.371 Pt
3.879 0.000 -1.371 Pt
-0.107 2.297 2.737 Sn
3.261 1.055 1.013 Sn
1.944 5.477 -2.749 Sn
0.618 5.663 1.729 Sn
3.162 3.367 3.756 Sn
-1.335 4.422 4.472 Sn
5.716 1.055 2.749 Sn
5.214 2.297 -1.729 Sn
1.935 1.241 5.492 Sn
3.986 4.422 0.006 Sn
0.717 3.352 -1.013 Sn
-1.837 5.663 -0.006 Sn
0.000 0.000 0.000 Pu
```

=====

3.
Below is a relaxed structure of MnRePb3, with properties calculated at the PBE-GGA level.

## Properties
VASP energy   -27.97 eV for the cell shown
Crystal system   cubic
ΔH_f (0 K)   0.9550 eV per atom

Geometry as POSCAR:
```
MnRePb3
1.0
5.347 0.000 0.000
0.000 5.347 0.000
0.000 0.000 5.347
Pb Re Mn
3 1 1
Cartesian
0.000 2.673 0.000 Pb
0.000 0.000 2.673 Pb
2.673 0.000 0.000 Pb
0.000 0.000 0.000 Re
2.673 2.673 2.673 Mn
```

=====

4.
Below is a relaxed structure of TbYHgPb, with properties calculated at the PBE-GGA level.

## Properties
VASP energy   -17.02 eV for the cell shown
Crystal system   orthorhombic
ΔH_f (0 K)   -0.4800 eV per atom

Geometry as POSCAR:
```
TbYHgPb
1.0
-2.329 1.251 -2.939
-3.556 -3.654 1.263
-2.310 3.378 3.269
Hg Pb Y Tb
1 1 1 1
Cartesian
-2.942 -1.201 -0.838 Hg
-2.320 2.315 0.165 Pb
0.000 0.000 0.000 Y
-2.933 -0.138 2.266 Tb
```

=====

5.
Below is a relaxed structure of SiCSN2, with properties calculated at the PBE-GGA level.

## Properties
VASP energy   -25.14 eV for the cell shown
Crystal system   tetragonal
Raw formation energy   2057 meV/atom

Geometry as POSCAR:
```
SiCSN2
1.0
3.460 0.000 0.000
0.000 3.460 0.000
0.000 0.000 3.911
N S Si C
2 1 1 1
Cartesian
1.730 0.000 0.000 N
0.000 1.730 0.000 N
0.000 0.000 1.956 S
1.730 1.730 1.956 Si
0.000 0.000 0.000 C
```

=====

6.
Below is a relaxed structure of Pr3Hf, with properties calculated at the PBE-GGA level.

## Properties
VASP energy   -23.41 eV for the cell shown
Crystal system   orthorhombic
ΔH_f (0 K)   0.2206 eV per atom

Geometry as POSCAR:
```
Pr3Hf
1.0
3.546 0.000 0.000
0.000 6.172 0.000
-1.773 -3.086 5.823
Hf Pr
1 3
Cartesian
0.000 0.040 0.000 Hf
1.773 3.014 0.000 Pr
0.000 2.073 3.078 Pr
1.773 -1.013 2.745 Pr
```

=====

7.
Below is a relaxed structure of Zr2ScCd, with properties calculated at the PBE-GGA level.

## Properties
VASP energy   -24.82 eV for the cell shown
Crystal system   tetragonal
ΔH_f (0 K)   -0.1185 eV per atom

Geometry as POSCAR:
```
Zr2ScCd
1.0
3.209 0.000 0.000
0.000 3.209 0.000
0.000 0.000 8.806
Zr Sc Cd
2 1 1
Cartesian
1.604 1.604 2.222 Zr
0.000 0.000 8.789 Zr
1.604 1.604 6.572 Sc
0.000 0.000 4.432 Cd
```

=====

8.
Below is a relaxed structure of CdGa2SnBr6, with properties calculated at the PBE-GGA level.

## Properties
VASP energy   -27.30 eV for the cell shown
Crystal system   tetragonal
Raw formation energy   -629 meV/atom

Geometry as POSCAR:
```
CdGa2SnBr6
1.0
-4.035 0.531 -4.996
3.386 -6.140 -3.387
-5.040 -4.746 3.566
Ga Br Sn Cd
2 6 1 1
Cartesian
-6.419 -1.860 -3.045 Ga
-2.206 -2.557 -6.522 Ga
-3.360 -2.214 -3.627 Br
-0.766 0.101 -0.949 Br
-4.222 -7.893 -3.534 Br
-1.601 -5.342 -0.869 Br
-5.989 -4.690 -1.767 Br
-1.593 -5.417 -5.395 Br
-3.281 -5.121 -2.949 Sn
-2.364 0.311 -2.927 Cd
```

=====

9.
Below is a relaxed structure of ZnNiP2, with properties calculated at the PBE-GGA level.

## Properties
VASP energy   -18.19 eV for the cell shown
Crystal system   orthorhombic
ΔH_f (0 K)   -0.0793 eV per atom

Geometry as POSCAR:
```
ZnNiP2
1.0
2.571 0.000 0.000
0.000 3.574 0.000
0.000 0.000 6.691
P Ni Zn
2 1 1
Cartesian
0.000 0.000 5.498 P
1.285 1.787 1.832 P
1.285 1.787 6.276 Ni
0.000 0.000 3.123 Zn
```

=====

10.
Below is a relaxed structure of Pm3Pr4Nd3, with properties calculated at the PBE-GGA level.

## Properties
VASP energy   -46.60 eV for the cell shown
Crystal system   orthorhombic
ΔH_f (0 K)   0.1073 eV per atom

Geometry as POSCAR:
```
Pm3Pr4Nd3
1.0
3.877 0.000 0.000
0.000 9.641 -0.044
0.000 0.041 9.641
Pm Pr Nd
3 4 3
Cartesian
1.939 1.673 7.994 Pm
0.000 4.853 9.615 Pm
0.000 0.024 4.828 Pm
0.000 3.589 6.061 Pr
0.000 1.261 1.240 Pr
0.000 6.088 3.540 Pr
0.000 8.430 8.346 Pr
1.939 6.484 6.432 Nd
1.939 3.192 3.169 Nd
1.939 8.011 1.599 Nd
```

=====

11.
Below is a relaxed structure of Pm4Te2CSe, with properties calculated at the PBE-GGA level.

## Properties
VASP energy   -47.92 eV for the cell shown
Crystal system   monoclinic
Raw formation energy   -1241 meV/atom

Geometry as POSCAR:
```
Pm4Te2CSe
1.0
4.116 0.000 0.000
0.000 7.274 0.159
0.000 -2.516 7.122
Te Pm C Se
2 4 1 1
Cartesian
0.000 2.379 3.640 Te
2.058 -1.258 3.561 Te
0.000 4.653 1.531 Pm
0.000 0.105 5.750 Pm
2.058 3.315 5.771 Pm
2.058 1.444 1.510 Pm
2.058 3.637 0.079 C
0.000 0.000 0.000 Se
```

=====

12.
Below is a relaxed structure of AlFeTe2, with properties calculated at the PBE-GGA level.

## Properties
VASP energy   -17.45 eV for the cell shown
Crystal system   orthorhombic
Raw formation energy   260 meV/atom

Geometry as POSCAR:
```
AlFeTe2
1.0
6.655 0.732 -0.127
3.853 5.476 0.127
-4.728 -3.994 2.556
Te Al Fe
2 1 1
Cartesian
0.633 0.374 0.000 Te
3.869 0.085 1.214 Te
4.455 2.632 0.000 Al
2.078 2.227 1.342 Fe
```

=====

13.
Below is a relaxed structure of CaIr2Se, with properties calculated at the PBE-GGA level.

## Properties
VASP energy   -23.64 eV for the cell shown
Crystal system   orthorhombic
Raw formation energy   -108 meV/atom

Geometry as POSCAR:
```
CaIr2Se
1.0
-1.572 -4.451 -3.235
1.238 -4.967 -2.561
-1.294 -3.849 2.449
Ca Ir Se
1 2 1
Cartesian
-1.221 -9.950 -2.510 Ca
-0.356 -9.293 -5.610 Ir
-0.792 -6.758 -1.860 Ir
-0.407 -3.317 -0.837 Se
```

=====

14.
Below is a relaxed structure of Np3SiP6, with properties calculated at the PBE-GGA level.

## Properties
VASP energy   -160.36 eV for the cell shown
Crystal system   orthorhombic
Raw formation energy   -348 meV/atom

Geometry as POSCAR:
```
Np3SiP6
1.0
6.151 0.000 0.000
0.000 8.498 -0.081
0.000 -1.976 8.265
P Si Np
12 2 6
Cartesian
4.170 0.260 6.484 P
1.210 1.932 7.498 P
4.226 2.108 2.925 P
4.082 8.177 0.175 P
1.095 6.262 1.701 P
1.210 -0.356 4.628 P
4.285 6.878 3.556 P
4.285 4.591 0.686 P
1.150 4.414 5.259 P
1.150 2.381 2.708 P
4.226 4.141 5.476 P
1.006 -1.654 8.009 P
0.279 0.056 6.647 Si
3.355 6.467 1.538 Si
5.907 4.284 7.545 Np
5.907 0.124 2.324 Np
2.831 2.238 0.639 Np
2.831 6.399 5.860 Np
2.526 2.066 5.044 Np
5.601 4.456 3.140 Np
```

=====

15.
Below is a relaxed structure of LaPm2HoS4, with properties calculated at the PBE-GGA level.

## Properties
VASP energy   -51.86 eV for the cell shown
Crystal system   monoclinic
Raw formation energy   -2042 meV/atom

Geometry as POSCAR:
```
LaPm2HoS4
1.0
3.993 0.000 0.000
0.000 7.032 0.157
0.000 -2.420 6.537
S Pm Ho La
4 2 1 1
Cartesian
0.000 0.014 4.995 S
0.000 4.598 1.699 S
1.996 3.384 5.018 S
1.996 1.228 1.676 S
0.000 2.306 3.347 Pm
1.996 -1.210 3.268 Pm
1.996 3.516 0.079 Ho
0.000 0.000 0.000 La
```

=====

16.
Below is a relaxed structure of Ce2PuSe2N2, with properties calculated at the PBE-GGA level.

## Properties
VASP energy   -61.30 eV for the cell shown
Crystal system   monoclinic
Raw formation energy   -1640 meV/atom

Geometry as POSCAR:
```
Ce2PuSe2N2
1.0
-2.297 -0.614 -3.144
2.051 -5.470 -2.901
-3.719 -5.554 1.331
Pu Se N Ce
1 2 2 2
Cartesian
0.000 0.000 0.000 Pu
-0.607 -6.550 -3.220 Se
-3.359 -5.088 -1.495 Se
-1.481 -2.658 -3.341 N
-2.485 -8.980 -1.373 N
-3.330 -8.167 -3.386 Ce
-0.636 -3.471 -1.329 Ce
```

=====

17.
Below is a relaxed structure of Tb8Pr5In, with properties calculated at the PBE-GGA level.

## Properties
VASP energy   -61.24 eV for the cell shown
Crystal system   tetragonal
ΔH_f (0 K)   0.1738 eV per atom

Geometry as POSCAR:
```
Tb8Pr5In
1.0
8.059 0.000 -2.720
-4.045 6.900 -2.893
0.031 0.000 8.505
Pr Tb In
5 8 1
Cartesian
3.804 4.734 1.782 Pr
-1.129 2.166 0.131 Pr
1.976 0.764 7.234 Pr
3.439 6.136 -3.361 Pr
4.045 0.000 2.893 Pr
7.162 0.718 2.774 Tb
-2.290 5.083 1.731 Tb
3.685 2.740 4.868 Tb
1.753 4.160 -0.980 Tb
4.943 1.817 0.166 Tb
0.895 6.182 2.988 Tb
1.621 1.910 2.043 Tb
-1.588 4.990 -2.019 Tb
0.016 3.450 4.253 In
```

=====

18.
Below is a relaxed structure of ScPd2Se, with properties calculated at the PBE-GGA level.

## Properties
VASP energy   -46.18 eV for the cell shown
Crystal system   tetragonal
Raw formation energy   -722 meV/atom

Geometry as POSCAR:
```
ScPd2Se
1.0
-0.427 1.112 3.719
-3.881 -0.144 -0.403
-2.100 -8.658 4.398
Pd Sc Se
4 2 2
Cartesian
-1.278 -1.485 3.383 Pd
-5.355 -5.647 6.198 Pd
-3.180 -6.131 4.543 Pd
-3.003 -2.118 1.303 Pd
-2.154 0.484 1.658 Sc
-4.068 -4.159 2.826 Sc
-2.341 -3.531 4.887 Se
0.000 0.000 0.000 Se
```

=====

19.
Below is a relaxed structure of LaNd2DyHo5, with properties calculated at the PBE-GGA level.

## Properties
VASP energy   -79.26 eV for the cell shown
Crystal system   tetragonal
ΔH_f (0 K)   0.2582 eV per atom

Geometry as POSCAR:
```
LaNd2DyHo5
1.0
-8.327 0.537 2.631
2.594 -0.608 8.334
3.484 7.778 -5.109
Nd Ho Dy La
4 10 2 2
Cartesian
-5.751 0.099 7.466 Nd
-0.898 -0.331 8.365 Nd
0.018 -0.170 3.499 Nd
-4.835 0.260 2.600 Nd
-2.514 5.908 -0.710 Ho
-2.867 -0.035 5.482 Ho
0.000 0.000 0.000 Ho
-0.542 5.560 3.243 Ho
0.265 1.799 6.565 Ho
-1.707 2.147 2.612 Ho
-5.660 2.366 4.603 Ho
3.411 5.341 1.252 Ho
-3.688 2.018 8.557 Ho
1.439 5.689 -2.701 Ho
1.606 3.567 4.353 Dy
-3.855 4.140 1.502 Dy
0.309 3.871 0.187 La
-2.558 3.836 5.669 La
```

=====

20.
Below is a relaxed structure of Pr4Y2Tm5, with properties calculated at the PBE-GGA level.

## Properties
VASP energy   -52.75 eV for the cell shown
Crystal system   orthorhombic
ΔH_f (0 K)   0.1500 eV per atom

Geometry as POSCAR:
```
Pr4Y2Tm5
1.0
3.499 0.000 0.000
0.000 4.765 3.281
-1.750 -3.117 19.823
Y Tm Pr
2 5 4
Cartesian
0.000 -0.713 11.236 Y
1.750 2.361 11.868 Y
1.750 2.253 17.132 Tm
0.000 -0.605 5.971 Tm
0.000 1.474 2.955 Tm
1.750 0.174 20.148 Tm
1.750 0.000 0.000 Tm
1.750 1.118 8.569 Pr
1.750 -1.278 17.158 Pr
0.000 2.926 5.945 Pr
0.000 0.530 14.535 Pr
```

=====

21.
Below is a relaxed structure of YPSe, with properties calculated at the PBE-GGA level.

## Properties
VASP energy   -16.79 eV for the cell shown
Crystal system   cubic
Raw formation energy   -476 meV/atom

Geometry as POSCAR:
```
YPSe
1.0
0.000 3.302 3.302
3.302 0.000 3.302
3.302 3.302 0.000
Se Y P
1 1 1
Cartesian
1.651 1.651 1.651 Se
0.000 0.000 0.000 Y
3.302 3.302 3.302 P
```

=====

22.
Below is a relaxed structure of Sc8Ga2Au, with properties calculated at the PBE-GGA level.

## Properties
VASP energy   -63.95 eV for the cell shown
Crystal system   monoclinic
ΔH_f (0 K)   -0.3604 eV per atom

Geometry as POSCAR:
```
Sc8Ga2Au
1.0
4.654 0.000 0.000
0.000 6.207 0.359
-2.327 -2.225 8.277
Sc Ga Au
8 2 1
Cartesian
2.327 2.947 5.070 Sc
0.000 4.638 0.630 Sc
2.327 -0.655 8.005 Sc
0.000 -1.412 5.646 Sc
0.000 1.035 3.566 Sc
2.327 5.394 2.990 Sc
0.000 1.460 6.931 Sc
2.327 2.523 1.704 Sc
0.000 3.837 3.354 Ga
2.327 0.146 5.282 Ga
2.327 0.000 0.000 Au
```

=====

23.
Below is a relaxed structure of GaP2RuO, with properties calculated at the PBE-GGA level.

## Properties
VASP energy   -24.52 eV for the cell shown
Crystal system   tetragonal
Raw formation energy   712 meV/atom

Geometry as POSCAR:
```
GaP2RuO
1.0
4.783 0.000 0.000
0.000 4.783 0.000
0.000 0.000 3.529
Ru P O Ga
1 2 1 1
Cartesian
2.392 2.392 1.764 Ru
0.000 2.392 0.000 P
2.392 0.000 0.000 P
0.000 0.000 1.764 O
0.000 0.000 0.000 Ga
```

=====

24.
Below is a relaxed structure of Pu2AsS, with properties calculated at the PBE-GGA level.

## Properties
VASP energy   -42.55 eV for the cell shown
Crystal system   trigonal
Raw formation energy   -1276 meV/atom

Geometry as POSCAR:
```
Pu2AsS
1.0
-1.056 3.805 0.598
-3.296 1.452 -1.726
-5.235 -0.178 5.225
As Pu S
1 2 1
Cartesian
-8.112 3.339 4.437 As
-2.394 1.271 1.020 Pu
-4.285 0.307 3.819 Pu
-4.823 2.525 2.092 S
```

=====

25.
Below is a relaxed structure of MnBeCl3, with properties calculated at the PBE-GGA level.

## Properties
VASP energy   -20.29 eV for the cell shown
Crystal system   cubic
Raw formation energy   -370 meV/atom

Geometry as POSCAR:
```
MnBeCl3
1.0
4.544 0.000 0.000
0.000 4.544 0.000
0.000 0.000 4.544
Be Cl Mn
1 3 1
Cartesian
0.000 0.000 0.000 Be
0.000 0.000 2.272 Cl
2.272 0.000 0.000 Cl
0.000 2.272 0.000 Cl
2.272 2.272 2.272 Mn
```